1.
VASP calculation (PBE+U) on crystalline NiN2F4 at its relaxed geometry.

Summary:
- Relative energy among the computed polymorphs: 0.000 eV/atom

Cell: 5.6081 3.1940 10.1591 Å, 90.00 91.70 90.00°
Space group C2/m (No. 12)
Inequivalent atoms, fractional coordinates:
Ni: 0.0000 0.0000 0.0000
N: 0.0695 0.0000 0.4541
F: 0.0767 0.0000 0.6611
F: 0.1715 0.5000 0.0908

2.
VASP calculation (PBE+U) on crystalline NiNF at its relaxed geometry.

Summary:
- Calculated total energy: -4.709 eV/atom

Cell: 3.0698 4.4815 10.1310 Å, 90.00 90.00 90.00°
Space group Immm (No. 71)
Inequivalent atoms, fractional coordinates:
Ni: 0.0000 0.0000 0.1476
N: 0.0000 0.3670 0.5000
F: 0.0000 0.5000 0.2200

3.
VASP calculation (PBE+U) on crystalline NiN2F2 at its relaxed geometry.

Summary:
- Relative energy among the computed polymorphs: 0.334 eV/atom

Cell: 3.8039 3.8039 4.1813 Å, 90.00 90.00 90.00°
Space group P4/mmm (No. 123)
Inequivalent atoms, fractional coordinates:
Ni: 0.0000 0.0000 0.0000
N: 0.0000 0.0000 0.5000
N: 0.5000 0.5000 0.5000
F: 0.0000 0.5000 0.0000

Magnetization for every record listed, in sequence, given in Bohr magnetons per cell: 4.0; 4.0; 2.0.